The following is a DFT calculation (GGA-PBE) of a geometry-optimized Mg3ScN structure.

Cell and atoms, written as POSCAR:
```
Mg3ScN
1.0
-0.663 4.305 0.977
-2.388 -1.180 3.583
3.713 0.010 2.478
Sc Mg N
1 3 1
Cartesian
0.331 1.567 3.519 Sc
-1.194 -0.590 1.791 Mg
1.857 0.005 1.239 Mg
-0.331 2.153 0.488 Mg
0.000 0.000 0.000 N
```

Output
E: -0.14442 hartree per atom
polymorph energy (0 for the lowest one): 0 meV/atom
density of states at the Fermi level: 2.8 states/eV/cell